(1)
NdYI3: optimized geometry, PBE.

Values from the calculation:
- M_tot (μB per formula unit) = 0.00
- energy above the lowest structure with this stoichiometry (meV/atom) = 17.2
- raw formation energy (eV per atom) = -1.11

Cell lengths 20.4860, 4.1730, 11.6768 Å; angles 90.00, 111.50, 90.00 degrees
Last column: nearest neighbours and their distance in Å.
Space group C2/m (No. 12)
Inequivalent atoms, fractional coordinates:
Nd 0.0755 0.0000 0.2466  4 I 3.13-3.15
Y 0.0747 0.5000 0.9719  4 I 3.18-3.20, 1 Y 3.36
I 0.0807 0.0000 0.7700  1 Nd 3.13, 2 Y 3.18
I 0.1354 0.5000 0.4615  2 Nd 3.15
I 0.1912 0.0000 0.1304  1 Nd 3.13, 2 Y 3.20

---

(2)
CoSnN2: optimized geometry, PBE.

Values from the calculation:
- M_tot (μB per formula unit) = 0.98
- raw formation energy (eV per atom) = 0.43

Cell lengths 4.6999, 4.6999, 9.4705 Å; angles 90.00, 90.00, 90.00 degrees
Last column: nearest neighbours and their distance in Å.
Space group I-42d (No. 122)
Inequivalent atoms, fractional coordinates:
Co 0.0000 0.0000 0.0000  4 N 1.91
Sn 0.0000 0.0000 0.5000  4 N 2.19
N 0.1993 0.2500 0.1250  2 Co 1.91

---

(3)
SnPb2Au: optimized geometry, PBE.

Values from the calculation:
- E (eV/atom) = -3.582
- M_tot (μB per formula unit) = 0.00

Cell lengths 3.4920, 3.4920, 32.5614 Å; angles 90.00, 90.00, 120.00 degrees
Last column: nearest neighbours and their distance in Å.
Space group R-3m (No. 166, hexagonal axes)
Inequivalent atoms, fractional coordinates:
Sn 0.0000 0.0000 0.0000  2 Pb 3.22, 6 Sn 3.49
Pb 0.0000 0.0000 0.0988  3 Au 2.99, 1 Sn 3.22
Au 0.0000 0.0000 0.5000  6 Pb 2.99

---

(4)
CrIr2Au: optimized geometry, PBE.

Values from the calculation:
- M_tot (μB per formula unit) = 0.87
- energy above the lowest structure with this stoichiometry (meV/atom) = 103.2

Cell lengths 2.7531, 3.6999, 5.8263 Å; angles 90.00, 90.00, 90.00 degrees
Last column: nearest neighbours and their distance in Å.
Space group Pmmm (No. 47)
Inequivalent atoms, fractional coordinates:
Cr 0.0000 0.0000 0.0000  8 Ir 2.64, 2 Cr 2.75, 2 Au 2.91
Ir 0.5000 0.5000 0.2223  3 Ir 2.59-2.75, 4 Cr 2.64, 4 Au 2.82
Au 0.0000 0.0000 0.5000  2 Au 2.75, 8 Ir 2.82, 2 Cr 2.91

---

(5)
NbFePd2: optimized geometry, PBE.

Values from the calculation:
- M_tot (μB per formula unit) = 1.52
- energy above the lowest structure with this stoichiometry (meV/atom) = 284.8

Cell lengths 3.7644, 3.7644, 18.2184 Å; angles 90.00, 90.00, 90.00 degrees
Last column: nearest neighbours and their distance in Å.
Space group I-42d (No. 122)
Inequivalent atoms, fractional coordinates:
Nb 0.0000 0.0000 0.0000  4 Pd 2.65, 4 Fe 2.66
Fe 0.0000 0.0000 0.5000  4 Pd 2.62, 4 Nb 2.66
Pd 0.2401 0.2500 0.6250  4 Pd 2.61-2.72, 2 Fe 2.62, 2 Nb 2.65

---

In g/cm³, the mass density values for the records above are, in order, 4.4 6.5 10.6 17.7 9.3.
In states/eV/f.u., the D(E_F) values for the records above are, in order, 0.9 2.7 2.0 4.3 4.3.